Here is a relaxed structure of SrSi2Mo from Alexandria via LeMat-Bulk. Energies are from PBE.

```
data_SrSi2Mo
_chemical_formula_sum 'Sr2 Si4 Mo2'
_symmetry_space_group_name_H-M 'C m m m'
_symmetry_Int_Tables_number 65
_symmetry_space_group_name_Hall '-C 2 2'
_cell_length_a 6.1661
_cell_length_b 8.2994
_cell_length_c 2.9057
_cell_angle_alpha 90.00
_cell_angle_beta 90.00
_cell_angle_gamma 90.00
loop_
_atom_site_label
_atom_site_fract_x
_atom_site_fract_y
_atom_site_fract_z
_atom_site_occupancy
Sr1 0.0000 0.0000 0.0000 1
Si1 0.2500 0.2500 0.5000 1
Mo1 0.0000 0.5000 0.0000 1
```

Computed properties:
- Raw total energy: -0.1960 Ha/atom
- N(E_F): 6.0 states/eV/cell
- ΔE_f (raw): 0.506 eV per atom
- Calculated volume: 18.587 Å³ per atom

Here is a relaxed structure of Sr2SiMo from Alexandria via LeMat-Bulk. Energies are from PBE.

```
data_Sr2SiMo
_chemical_formula_sum 'Sr4 Si2 Mo2'
_symmetry_space_group_name_H-M 'I 4/m m m'
_symmetry_Int_Tables_number 139
_symmetry_space_group_name_Hall '-I 4 2'
_cell_length_a 4.8183
_cell_length_b 4.8183
_cell_length_c 9.2186
_cell_angle_alpha 90.00
_cell_angle_beta 90.00
_cell_angle_gamma 90.00
loop_
_atom_site_label
_atom_site_fract_x
_atom_site_fract_y
_atom_site_fract_z
_atom_site_occupancy
Sr1 0.0000 0.5000 0.2500 1
Si1 0.0000 0.0000 0.0000 1
Mo1 0.0000 0.0000 0.5000 1
```

Computed properties:
- Raw total energy: -0.1547 Ha/atom
- N(E_F): 4.5 states/eV/cell
- ΔE_f (raw): 0.695 eV per atom
- Calculated volume: 26.753 Å³ per atom

Here is a relaxed structure of SrSi2Mo from Alexandria via LeMat-Bulk. Energies are from PBE.

```
data_SrSi2Mo
_chemical_formula_sum 'Sr3 Si6 Mo3'
_symmetry_space_group_name_H-M 'R -3 m'
_symmetry_Int_Tables_number 166
_symmetry_space_group_name_Hall '-R 3 2"'
_cell_length_a 3.6308
_cell_length_b 3.6308
_cell_length_c 22.1282
_cell_angle_alpha 90.00
_cell_angle_beta 90.00
_cell_angle_gamma 120.00
loop_
_atom_site_label
_atom_site_fract_x
_atom_site_fract_y
_atom_site_fract_z
_atom_site_occupancy
Sr1 0.0000 0.0000 0.0000 1
Si1 0.0000 0.0000 0.2312 1
Mo1 0.0000 0.0000 0.5000 1
```

Computed properties:
- Raw total energy: -0.2136 Ha/atom
- N(E_F): 10.1 states/eV/cell
- ΔE_f (raw): 0.027 eV per atom
- Calculated volume: 21.052 Å³ per atom